Record 1
The following is a DFT calculation (PBE) of Li6DySn4 after structural relaxation.

Lattice parameters (Å, degrees): 4.5014 7.6132 7.6132 120.00 90.00 90.00
Fractional positions:
1 Dy 0.0000 0.0000 0.0000
2 Li 0.5000 0.5716 0.7858
3 Li 0.5000 0.2142 0.4284
4 Li 0.5000 0.2142 0.7858
5 Li 0.0000 0.5364 0.4636
6 Li 0.0000 0.9272 0.4636
7 Li 0.0000 0.5364 0.0728
8 Sn 0.0000 0.3333 0.6667
9 Sn 0.5000 0.3893 0.1946
10 Sn 0.5000 0.8054 0.6107
11 Sn 0.5000 0.8054 0.1946

Its density of states at the Fermi level is 0.440 states/eV per atom. Its total energy is -3.2277 eV/atom. As for the crystal system: hexagonal.

=====

Record 2
The following is a DFT calculation (PBE) of Li3DySn3 after structural relaxation.

Lattice parameters (Å, degrees): 7.0931 7.0931 7.0931 90.00 90.00 90.00
Fractional positions:
1 Dy 0.0000 0.0000 0.0000
2 Dy 0.5000 0.5000 0.5000
3 Sn 0.0000 0.5000 0.2500
4 Sn 0.5000 0.7500 0.0000
5 Sn 0.2500 0.0000 0.5000
6 Sn 0.7500 0.0000 0.5000
7 Sn 0.5000 0.2500 0.0000
8 Sn 0.0000 0.5000 0.7500
9 Li 0.0000 0.2500 0.5000
10 Li 0.0000 0.7500 0.5000
11 Li 0.2500 0.5000 0.0000
12 Li 0.7500 0.5000 0.0000
13 Li 0.5000 0.0000 0.2500
14 Li 0.5000 0.0000 0.7500

Its density of states at the Fermi level is 0.916 states/eV per atom. As for the crystal system: cubic. The value obtained for the excess energy over the best structure of this formula in the dataset is 44.1 kJ per mole of atoms.

=====

Record 3
The following is a DFT calculation (PBE) of Li2DySn3 after structural relaxation.

Lattice parameters (Å, degrees): 4.4388 4.5240 7.1690 108.39 90.00 90.00
Fractional positions:
1 Sn 0.5000 0.8298 0.6595
2 Sn 0.5000 0.1702 0.3405
3 Sn 0.5000 0.5000 0.0000
4 Dy 0.0000 0.0000 0.0000
5 Li 0.0000 0.6828 0.3655
6 Li 0.0000 0.3172 0.6345

Its density of states at the Fermi level is 0.348 states/eV per atom. Its total energy is -3.8758 eV/atom. As for the crystal system: orthorhombic.

=====

Record 4
The following is a DFT calculation (PBE) of Li7DySn4 after structural relaxation.

Lattice parameters (Å, degrees): 4.9885 8.5160 6.8862 79.98 68.76 72.97
Last column: magnetic moment on the atom in μB.
Fractional positions:
1 Sn 0.5724 0.2037 0.6515  0.00
2 Sn 0.6902 0.6890 0.9306  0.00
3 Sn 0.3098 0.3110 0.0694  0.00
4 Sn 0.4276 0.7963 0.3485  0.00
5 Li 0.9238 0.3744 0.7779  0.00
6 Li 0.2137 0.1255 0.4471  0.00
7 Li 0.5000 0.0000 0.0000  0.03
8 Li 0.7863 0.8745 0.5529  0.00
9 Li 0.0762 0.6256 0.2221  0.00
10 Li 0.6622 0.4073 0.2683  0.00
11 Li 0.3378 0.5927 0.7317  0.00
12 Dy 0.0000 0.0000 0.0000  0.12

Its density of states at the Fermi level is 0.358 states/eV per atom. Its total energy is -3.0681 eV/atom. As for the crystal system: monoclinic.

=====

The highest density of states at the Fermi level belongs to which entry? Li3DySn3

=====

What is the formula in the second record? Li3DySn3

=====

density of states at the Fermi level of number 1 (Li6DySn4)? 0.440 states/eV per atom